The following is a PBE+U calculation of crystalline NaOsWO6 at its relaxed geometry, from the Alexandria database.

```
NaOsWO6
1.0
-3.603 3.686 5.198
3.603 -3.686 5.198
3.603 3.686 -5.198
Na Os W O
2 2 2 12
Direct
0.444 0.194 0.250 Na
0.556 0.806 0.750 Na
0.000 0.000 0.500 Os
0.000 0.500 0.000 Os
0.000 0.500 0.500 W
0.500 0.500 0.000 W
0.046 0.796 0.250 O
0.063 0.428 0.248 O
0.063 0.815 0.635 O
0.319 0.185 0.748 O
0.319 0.569 0.750 O
0.319 0.572 0.135 O
0.681 0.428 0.865 O
0.681 0.431 0.250 O
0.681 0.815 0.252 O
0.937 0.185 0.365 O
0.937 0.572 0.752 O
0.954 0.204 0.750 O
```

Values from the calculation:
energy = -63.03 eV per formula unit
calculated volume = 276.1 Å³ per cell
SG = Imma (74)
DOS(E_F) = 0.274 states/eV per atom